VASP calculation (PBE-GGA) on a relaxed structure of Sr2TeAu.

Cell lengths 5.606, 5.606, 5.606 Å; angles 60.00, 60.00, 60.00 degrees
Fractional positions:
Sr1 0.000 0.000 0.000
Sr2 0.250 0.250 0.250
Te1 0.750 0.750 0.750
Au1 0.500 0.500 0.500

Values from the calculation:
**Formation energy without anion corrections**: -2.0 eV/f.u.
**Energy**: -0.108 Ha/atom


VASP calculation (PBE-GGA) on a relaxed structure of Sr2TeAu.

Cell lengths 4.030, 4.030, 7.703 Å; angles 90.00, 90.00, 90.00 degrees
Fractional positions:
Sr1 0.000 0.000 0.244
Sr2 0.000 0.000 0.756
Te1 0.500 0.500 0.500
Au1 0.500 0.500 0.000

Values from the calculation:
**Formation energy without anion corrections**: -4.4 eV/f.u.
**Energy**: -0.131 Ha/atom


VASP calculation (PBE-GGA) on a relaxed structure of Sr2TeAu.

Cell lengths 12.884, 12.884, 4.764 Å; angles 90.00, 90.00, 159.60 degrees
Fractional positions:
Sr1 0.060 0.940 0.750
Sr2 0.322 0.678 0.750
Sr3 0.678 0.322 0.250
Sr4 0.940 0.060 0.250
Te1 0.189 0.811 0.750
Te2 0.811 0.189 0.250
Au1 0.463 0.537 0.750
Au2 0.537 0.463 0.250

Values from the calculation:
**Formation energy without anion corrections**: -4.7 eV/f.u.
**Energy**: -0.133 Ha/atom


VASP calculation (PBE-GGA) on a relaxed structure of SrTe4Au.

Cell lengths 6.409, 6.409, 6.409 Å; angles 60.00, 60.00, 60.00 degrees
Fractional positions:
Sr1 0.000 0.000 0.000
Te1 0.129 0.624 0.624
Te2 0.624 0.129 0.624
Te3 0.624 0.624 0.129
Te4 0.624 0.624 0.624
Au1 0.250 0.250 0.250

Values from the calculation:
**Formation energy without anion corrections**: -0.7 eV/f.u.
**Energy**: -0.112 Ha/atom


VASP calculation (PBE-GGA) on a relaxed structure of SrTeAu2.

Cell lengths 4.124, 4.124, 6.123 Å; angles 90.00, 90.00, 90.00 degrees
Fractional positions:
Sr1 0.000 0.000 0.000
Te1 0.000 0.000 0.500
Au1 0.500 0.500 0.244
Au2 0.500 0.500 0.756

Values from the calculation:
**Formation energy without anion corrections**: -1.9 eV/f.u.
**Energy**: -0.122 Ha/atom


VASP calculation (PBE-GGA) on a relaxed structure of Sr2TeAu.

Cell lengths 4.906, 6.572, 6.572 Å; angles 38.88, 90.00, 90.00 degrees
Fractional positions:
Sr1 0.000 0.000 0.000
Sr2 0.500 0.269 0.269
Te1 0.500 0.545 0.545
Au1 0.000 0.747 0.747

Values from the calculation:
**Formation energy without anion corrections**: -4.4 eV/f.u.
**Energy**: -0.130 Ha/atom